## Ca2Ac4N (PBE)

Data for a relaxed Ca2Ac4N crystal.

It has space group I4/mmm (No. 139), with a = 5.547 Å, b = 5.547 Å, c = 18.611 Å, α = 90.00°, β = 90.00° and γ = 90.00°. The asymmetric unit holds Ca at (0.000, 0.000, 0.152), Ac at (0.000, 0.000, 0.367), Ac at (0.000, 0.500, 0.000) and N at (0.000, 0.000, 0.500).

Its energy is -4.268 eV/atom. The density of states at the Fermi level is 18.64 states/eV per cell. Its raw formation energy is -0.1592 eV per atom.